(1)
SrMnSi2: relaxed, PBE.

Cell and atoms, written as POSCAR:
```
SrMnSi2
1.0
3.204 0.000 0.000
0.000 3.204 0.000
0.000 0.000 7.070
Sr Mn Si
1 1 2
Direct
0.000 0.000 0.000
0.500 0.500 0.345
0.000 0.000 0.456
0.500 0.500 0.669
```

Total moment   0.99 μB per formula unit
E_tot   -21.3 eV/f.u.


(2)
SrMnSi: relaxed, PBE.

Cell and atoms, written as POSCAR:
```
SrMnSi
1.0
4.251 0.000 0.000
-2.125 3.681 0.000
0.000 0.000 4.728
Sr Mn Si
1 1 1
Direct
0.000 0.000 0.000
0.333 0.667 0.500
0.667 0.333 0.500
```

Total moment   3.87 μB per formula unit
E_tot   -16.5 eV/f.u.


(3)
Sr4MnSi: relaxed, PBE.

Cell and atoms, written as POSCAR:
```
Sr4MnSi
1.0
0.000 4.865 4.865
4.865 0.000 4.865
4.865 4.865 0.000
Sr Mn Si
4 1 1
Direct
0.125 0.125 0.125
0.125 0.125 0.624
0.125 0.624 0.125
0.624 0.125 0.125
0.750 0.750 0.750
0.500 0.500 0.500
```

Total moment   3.09 μB per formula unit
E_tot   -15.9 eV/f.u.


(4)
SrMnSi: relaxed, PBE.

Cell and atoms, written as POSCAR:
```
SrMnSi
1.0
0.000 3.535 3.535
3.535 0.000 3.535
3.535 3.535 0.000
Sr Mn Si
1 1 1
Direct
0.000 0.000 0.000
0.250 0.250 0.250
0.750 0.750 0.750
```

Total moment   4.67 μB per formula unit
E_tot   -13.4 eV/f.u.